Material: Cu2P
Method: DFT, PBE-GGA
State: optimized geometry

Output
Raw total energy (eV per atom): -4.325

a b c (Å): 2.619 2.619 11.236
angles (deg): 90.00 90.00 90.00
Space group I4/mmm (No. 139)
Asymmetric unit:
Cu (0.000, 0.000, 0.168) x4
P (0.000, 0.000, 0.500) x2